Entry P
LiCoH2, relaxed, DFT PBE; N(E_F) = 2.15 states/eV per cell; crystal system = monoclinic
1.0
2.258 -1.339 0.000
2.258 1.339 0.000
-2.021 0.000 4.353
Li Co H
1 1 2
Direct
0.000 0.000 0.000
0.500 0.500 0.500
0.246 0.246 0.691
0.754 0.754 0.309

***

Entry Q
LiCoH2, relaxed, DFT PBE; N(E_F) = 0.09 states/eV per cell; crystal system = cubic
1.0
0.000 2.315 2.315
2.315 0.000 2.315
2.315 2.315 0.000
Li Co H
1 1 2
Direct
0.000 0.000 0.000
0.500 0.500 0.500
0.250 0.250 0.250
0.750 0.750 0.750

***

Entry R
LiCoH2, relaxed, DFT PBE; N(E_F) = 2.46 states/eV per cell; crystal system = tetragonal
1.0
2.455 0.000 0.000
0.000 2.455 0.000
0.000 0.000 4.708
Li Co H
1 1 2
Direct
0.000 0.000 0.000
0.000 0.000 0.500
0.500 0.500 0.321
0.500 0.500 0.679

***

Which structure loses on stability? entry Q does.

***

Entry P
LiCo2H2, relaxed, DFT PBE; N(E_F) = 4.01 states/eV per cell; crystal system = tetragonal
1.0
-1.588 1.588 3.917
1.588 -1.588 3.917
1.588 1.588 -3.917
Li Co H
1 2 2
Direct
0.000 0.000 0.000
0.332 0.332 0.000
0.668 0.668 0.000
0.250 0.750 0.500
0.750 0.250 0.500

***

Entry Q
LiCo2H2, relaxed, DFT PBE; N(E_F) = 7.71 states/eV per cell; crystal system = tetragonal
1.0
5.276 0.000 0.000
0.000 5.276 0.000
0.000 0.000 2.617
Li Co H
2 4 4
Direct
0.000 0.000 0.000
0.500 0.500 0.000
0.153 0.347 0.500
0.347 0.847 0.500
0.653 0.153 0.500
0.847 0.653 0.500
0.186 0.686 0.000
0.314 0.186 0.000
0.686 0.814 0.000
0.814 0.314 0.000

***

Which structure loses on stability? entry Q does.

***

Entry P
Li2CoH5, relaxed, DFT PBE; crystal system = orthorhombic
1.0
1.539 -4.750 0.000
1.539 4.750 0.000
0.000 0.000 8.371
Li Co H
4 2 10
Direct
0.140 0.860 0.574
0.140 0.860 0.926
0.860 0.140 0.074
0.860 0.140 0.426
0.162 0.838 0.250
0.838 0.162 0.750
0.046 0.954 0.124
0.046 0.954 0.376
0.270 0.730 0.114
0.270 0.730 0.386
0.290 0.710 0.750
0.710 0.290 0.250
0.730 0.270 0.614
0.730 0.270 0.886
0.954 0.046 0.624
0.954 0.046 0.876

***

Entry Q
Li2CoH5, relaxed, DFT PBE; crystal system = tetragonal
1.0
-2.325 2.325 2.700
2.325 -2.325 2.700
2.325 2.325 -2.700
Li Co H
2 1 5
Direct
0.000 0.500 0.500
0.500 0.000 0.500
0.254 0.254 0.000
0.014 0.014 0.531
0.014 0.483 0.000
0.483 0.014 0.000
0.483 0.483 0.469
0.988 0.988 0.000

***

Which structure loses on stability? entry Q does.

***

Entry P
Li3CoH, relaxed, DFT PBE; N(E_F) = 9.54 states/eV per cell; crystal system = cubic
1.0
4.678 0.000 0.000
0.000 4.678 0.000
0.000 0.000 4.678
Li Co H
3 1 1
Direct
0.000 0.000 0.500
0.000 0.500 0.000
0.500 0.000 0.000
0.000 0.000 0.000
0.500 0.500 0.500

***

Entry Q
Li3CoH, relaxed, DFT PBE; N(E_F) = 3.68 states/eV per cell; crystal system = cubic
1.0
3.838 0.000 0.000
0.000 3.838 0.000
0.000 0.000 3.838
Li Co H
3 1 1
Direct
0.000 0.000 0.500
0.000 0.500 0.000
0.500 0.000 0.000
0.500 0.500 0.500
0.000 0.000 0.000

***

Which structure loses on stability? entry P does.